(1)
First-principles (PBE) data for LaNd4Sm4 after structural relaxation, as listed in Alexandria via LeMat-Bulk.

Unit cell a=5.193 b=8.205 c=8.205 alpha=84.25 beta=71.55 gamma=71.55
Positions (direct):
Nd: 0.668 0.665 0.000
Nd: 0.332 0.335 0.000
Nd: 0.668 0.000 0.665
Nd: 0.332 0.000 0.335
Sm: 0.665 0.335 0.335
Sm: 0.000 0.335 0.665
Sm: 0.000 0.665 0.335
Sm: 0.335 0.665 0.665
La: 0.000 0.000 0.000

VASP energy	-42.7	eV per cell
size of the total moment	0.000	Bohr magnetons per cell
ΔE_f	16	meV/atom

(2)
First-principles (PBE) data for Tl3PtN after structural relaxation, as listed in Alexandria via LeMat-Bulk.

Unit cell a=5.939 b=5.417 c=8.228 alpha=107.18 beta=100.62 gamma=62.25
Positions (direct):
Pt: 0.932 0.439 0.555
Pt: 0.436 0.861 0.499
Tl: 0.914 0.869 0.412
Tl: 0.534 0.448 0.184
Tl: 0.192 0.148 0.226
Tl: 0.176 0.151 0.829
Tl: 0.454 0.430 0.643
Tl: 0.834 0.852 0.870
N: 0.501 0.314 0.895
N: 0.867 0.986 0.159

ΔE_f (raw)	2.27	eV per formula unit
VASP energy	-38.4	eV per cell
size of the total moment	0.000	Bohr magnetons per cell
energy above the most stable polymorph in this dataset	0.0000	eV/atom

(3)
First-principles (PBE) data for SrCe2SmN4 after structural relaxation, as listed in Alexandria via LeMat-Bulk.

Unit cell a=7.235 b=7.235 c=7.225 alpha=119.95 beta=119.95 gamma=90.02
Site moments in Bohr magnetons follow the coordinates.
Positions (direct):
N: 0.718 0.229 0.973  -0.01
N: 0.260 0.239 0.506  -0.02
N: 0.271 0.782 0.527  -0.01
N: 0.729 0.218 0.473  -0.01
N: 0.739 0.760 0.006  -0.02
N: 0.282 0.771 0.027  -0.01
N: 0.261 0.240 0.994  -0.02
N: 0.740 0.761 0.494  -0.02
Ce: 0.000 0.000 0.500  0.36
Ce: 0.500 0.500 0.000  0.36
Ce: 0.500 0.000 0.000  0.09
Ce: 0.500 0.000 0.500  0.09
Sr: 0.000 0.500 0.000  0.01
Sr: 0.000 0.500 0.500  0.01
Sm: 0.000 0.000 0.000  0.03
Sm: 0.500 0.500 0.500  0.03

ΔE_f (raw)	-10.56	eV per formula unit
VASP energy	-124.3	eV per cell
size of the total moment	1.085	Bohr magnetons per cell

Copy entry 1 word for word.
First-principles (PBE) data for LaNd4Sm4 after structural relaxation, as listed in Alexandria via LeMat-Bulk.

Unit cell a=5.193 b=8.205 c=8.205 alpha=84.25 beta=71.55 gamma=71.55
Positions (direct):
Nd: 0.668 0.665 0.000
Nd: 0.332 0.335 0.000
Nd: 0.668 0.000 0.665
Nd: 0.332 0.000 0.335
Sm: 0.665 0.335 0.335
Sm: 0.000 0.335 0.665
Sm: 0.000 0.665 0.335
Sm: 0.335 0.665 0.665
La: 0.000 0.000 0.000

VASP energy	-42.7	eV per cell
size of the total moment	0.000	Bohr magnetons per cell
ΔE_f	16	meV/atom